No. 1
Below is a geometry-optimized NdU structure, with properties calculated at the GGA-PBE level.

Lattice parameters (Å, degrees): 3.2510 3.2510 5.9646 90.00 90.00 120.00
Last column: nearest neighbours and their distance in Å.
Fractional coordinates of all 2 atoms:
Nd 0.0000 0.0000 0.0000  6 Nd 3.25, 6 U 3.52
U 0.6667 0.3333 0.5000  6 U 3.25, 6 Nd 3.52

Results
Space group: No. 187
Volume: 54.6 Å³/f.u.
Energy relative to the elements: 0.586 eV/atom

***

No. 2
Below is a geometry-optimized NaPmCd structure, with properties calculated at the GGA-PBE level.

Lattice parameters (Å, degrees): 7.3465 7.3465 7.3465 90.00 90.00 90.00
Last column: nearest neighbours and their distance in Å.
Fractional coordinates of all 12 atoms:
Na 0.0000 0.0000 0.0000  4 Pm 3.18
Na 0.0000 0.5000 0.5000  4 Pm 3.18
Na 0.5000 0.0000 0.5000  4 Pm 3.18
Na 0.5000 0.5000 0.0000  4 Pm 3.18
Pm 0.2500 0.2500 0.7500  4 Cd 3.18, 4 Na 3.18
Pm 0.2500 0.7500 0.2500  4 Cd 3.18, 4 Na 3.18
Pm 0.7500 0.2500 0.2500  4 Cd 3.18, 4 Na 3.18
Pm 0.7500 0.7500 0.7500  4 Cd 3.18, 4 Na 3.18
Cd 0.0000 0.0000 0.5000  4 Pm 3.18
Cd 0.0000 0.5000 0.0000  4 Pm 3.18
Cd 0.5000 0.0000 0.0000  4 Pm 3.18
Cd 0.5000 0.5000 0.5000  4 Pm 3.18

Results
Space group: No. 216
Volume: 99.1 Å³/f.u.
Total energy: -1.8815 eV/atom

***

No. 3
Below is a geometry-optimized BaLuZnAu structure, with properties calculated at the GGA-PBE level.

Lattice parameters (Å, degrees): 7.2701 7.2701 7.2701 90.00 90.00 90.00
Last column: nearest neighbours and their distance in Å.
Fractional coordinates of all 16 atoms:
Ba 0.0000 0.0000 0.0000  4 Zn 3.15, 4 Lu 3.15
Ba 0.0000 0.5000 0.5000  4 Zn 3.15, 4 Lu 3.15
Ba 0.5000 0.0000 0.5000  4 Zn 3.15, 4 Lu 3.15
Ba 0.5000 0.5000 0.0000  4 Zn 3.15, 4 Lu 3.15
Lu 0.2500 0.2500 0.7500  4 Ba 3.15, 4 Au 3.15
Lu 0.2500 0.7500 0.2500  4 Ba 3.15, 4 Au 3.15
Lu 0.7500 0.2500 0.2500  4 Ba 3.15, 4 Au 3.15
Lu 0.7500 0.7500 0.7500  4 Ba 3.15, 4 Au 3.15
Zn 0.2500 0.2500 0.2500  4 Au 3.15, 4 Ba 3.15
Zn 0.2500 0.7500 0.7500  4 Ba 3.15, 4 Au 3.15
Zn 0.7500 0.2500 0.7500  4 Ba 3.15, 4 Au 3.15
Zn 0.7500 0.7500 0.2500  4 Ba 3.15, 4 Au 3.15
Au 0.0000 0.0000 0.5000  4 Zn 3.15, 4 Lu 3.15
Au 0.0000 0.5000 0.0000  4 Zn 3.15, 4 Lu 3.15
Au 0.5000 0.0000 0.0000  4 Zn 3.15, 4 Lu 3.15
Au 0.5000 0.5000 0.5000  4 Zn 3.15, 4 Lu 3.15

Results
Space group: No. 216
Volume: 96.1 Å³/f.u.
Total energy: -2.8742 eV/atom

***

No. 4
Below is a geometry-optimized Ba2BiMoS6 structure, with properties calculated at the GGA-PBE level.

Lattice parameters (Å, degrees): 7.1891 7.1891 7.1891 60.00 60.00 60.00
Last column: nearest neighbours and their distance in Å.
Fractional coordinates of all 10 atoms:
Ba 0.2500 0.2500 0.2500  12 S 3.60
Ba 0.7500 0.7500 0.7500  12 S 3.60
Bi 0.0000 0.0000 0.0000  6 S 2.69
Mo 0.5000 0.5000 0.5000  6 S 2.40
S 0.2643 0.2643 0.7357  1 Mo 2.40
S 0.2643 0.7357 0.2643  1 Mo 2.40
S 0.2643 0.7357 0.7357  1 Mo 2.40
S 0.7357 0.2643 0.2643  1 Mo 2.40
S 0.7357 0.2643 0.7357  1 Mo 2.40
S 0.7357 0.7357 0.2643  1 Mo 2.40

Results
Space group: No. 225
Volume: 262.7 Å³/f.u.
Total energy: -5.2833 eV/atom

***

No. 5
Below is a geometry-optimized Na2CdSiTe4 structure, with properties calculated at the GGA-PBE level.

Lattice parameters (Å, degrees): 7.1695 7.1695 11.0795 90.00 90.00 90.00
Last column: nearest neighbours and their distance in Å.
Fractional coordinates of all 16 atoms:
Na 0.0000 0.0000 0.0000  4 Te 3.20
Na 0.0000 0.5000 0.2500  4 Te 3.04
Na 0.5000 0.0000 0.7500  4 Te 3.04
Na 0.5000 0.5000 0.5000  4 Te 3.20
Cd 0.0000 0.5000 0.7500  4 Te 2.85
Cd 0.5000 0.0000 0.2500  4 Te 2.85
Si 0.0000 0.0000 0.5000  4 Te 2.53
Si 0.5000 0.5000 0.0000  4 Te 2.53
Te 0.2017 0.2232 0.6195  1 Si 2.53
Te 0.2232 0.7983 0.3805  1 Si 2.53
Te 0.2768 0.7017 0.8805  1 Si 2.53
Te 0.2983 0.2768 0.1195  1 Si 2.53
Te 0.7017 0.7232 0.1195  1 Si 2.53
Te 0.7232 0.2983 0.8805  1 Si 2.53
Te 0.7768 0.2017 0.3805  1 Si 2.53
Te 0.7983 0.7768 0.6195  1 Si 2.53

Results
Space group: No. 82
Volume: 284.8 Å³/f.u.
Total energy: -3.1882 eV/atom

***

No. 6
Below is a geometry-optimized Ac3Mg3Cd8 structure, with properties calculated at the GGA-PBE level.

Lattice parameters (Å, degrees): 9.2826 9.2826 9.2826 148.39 114.83 74.25
Last column: nearest neighbours and their distance in Å.
Fractional coordinates of all 14 atoms:
Ac 0.0000 0.0000 0.0000  12 Cd 3.51-3.72
Ac 0.2914 0.2914 0.0000  12 Cd 3.47-3.66, 2 Mg 3.57
Ac 0.7086 0.7086 0.0000  12 Cd 3.47-3.66, 2 Mg 3.57
Mg 0.3202 0.5000 0.8202  6 Cd 2.93-3.26, 2 Mg 3.10
Mg 0.5000 0.0000 0.5000  4 Cd 2.95, 4 Mg 3.10
Mg 0.6798 0.5000 0.1798  6 Cd 2.93-3.26, 2 Mg 3.10
Cd 0.0144 0.6571 0.3574  4 Cd 2.85-3.12, 1 Mg 2.93
Cd 0.1487 0.8625 0.2862  3 Cd 2.92-3.12, 3 Mg 2.95-3.26
Cd 0.2997 0.6571 0.6426  4 Cd 2.85-3.12, 1 Mg 2.93
Cd 0.4237 0.1375 0.2862  3 Cd 2.92-3.12, 3 Mg 2.95-3.26
Cd 0.5763 0.8625 0.7138  3 Cd 2.92-3.12, 3 Mg 2.95-3.26
Cd 0.7003 0.3429 0.3574  4 Cd 2.85-3.12, 1 Mg 2.93
Cd 0.8513 0.1375 0.7138  3 Cd 2.92-3.12, 3 Mg 2.95-3.26
Cd 0.9856 0.3429 0.6426  4 Cd 2.85-3.12, 1 Mg 2.93

Results
Space group: No. 71
Volume: 374.2 Å³/f.u.
Total energy: -2.0144 eV/atom

***

No. 7
Below is a geometry-optimized Mo4PbC2S structure, with properties calculated at the GGA-PBE level.

Lattice parameters (Å, degrees): 3.2360 3.2360 12.7223 90.00 90.00 120.00
Last column: nearest neighbours and their distance in Å.
Fractional coordinates of all 8 atoms:
Mo 0.0000 0.0000 0.1397  3 C 2.20
Mo 0.0000 0.0000 0.8603  3 C 2.20
Mo 0.3333 0.6667 0.3066  3 C 2.10
Mo 0.3333 0.6667 0.6934  3 C 2.10
Pb 0.0000 0.0000 0.5000  6 Mo 3.09, 6 Pb 3.24
C 0.6667 0.3333 0.2310  6 Mo 2.10-2.20
C 0.6667 0.3333 0.7690  6 Mo 2.10-2.20
S 0.3333 0.6667 0.0000  6 Mo 2.58

Results
Space group: No. 187
Volume: 115.4 Å³/f.u.
Total energy: -8.6584 eV/atom

***

No. 8
Below is a geometry-optimized GeOs structure, with properties calculated at the GGA-PBE level.

Lattice parameters (Å, degrees): 5.0664 5.0664 5.0664 90.00 90.00 90.00
Last column: nearest neighbours and their distance in Å.
Fractional coordinates of all 8 atoms:
Ge 0.0000 0.0000 0.0000  6 Os 2.53
Ge 0.0000 0.5000 0.5000  6 Os 2.53
Ge 0.5000 0.0000 0.5000  6 Os 2.53
Ge 0.5000 0.5000 0.0000  6 Os 2.53
Os 0.0000 0.0000 0.5000  6 Ge 2.53
Os 0.0000 0.5000 0.0000  6 Ge 2.53
Os 0.5000 0.0000 0.0000  6 Ge 2.53
Os 0.5000 0.5000 0.5000  6 Ge 2.53

Results
Space group: No. 225
Volume: 32.5 Å³/f.u.
Total energy: -7.0846 eV/atom